A | ## AgSnPd2 (GGA-PBE)

Data for AgSnPd2 after structural relaxation.

Properties
Its space-group type is Fm-3m (225). The value obtained for the magnetic moment is 0.000 μB per formula unit.

a b c (Å): 4.599 4.599 4.599
angles (deg): 60.00 60.00 60.00
Fractional coordinates of all 4 atoms:
Ag 0.000 0.000 0.000
Sn 0.500 0.500 0.500
Pd 0.250 0.250 0.250
Pd 0.750 0.750 0.750

B | ## AgSnPd2 (GGA-PBE)

Data for AgSnPd2 after structural relaxation.

Properties
Its space-group type is I-42d (122). The value obtained for the magnetic moment is 0.000 μB per formula unit.

a b c (Å): 5.903 5.903 5.903
angles (deg): 103.18 103.18 122.95
Fractional coordinates of all 8 atoms:
Ag 0.000 0.000 0.000
Ag 0.750 0.250 0.500
Sn 0.250 0.750 0.500
Sn 0.500 0.500 0.000
Pd 0.138 0.625 0.013
Pd 0.375 0.388 0.513
Pd 0.612 0.125 0.987
Pd 0.875 0.862 0.487

C | ## AgSnPd2 (GGA-PBE)

Data for AgSnPd2 after structural relaxation.

Properties
Its space-group type is Immm (71). The value obtained for the magnetic moment is 0.000 μB per formula unit.

a b c (Å): 6.072 6.072 6.072
angles (deg): 151.67 133.40 55.44
Fractional coordinates of all 4 atoms:
Ag 0.000 0.000 0.000
Sn 0.500 0.500 0.000
Pd 0.256 0.256 0.000
Pd 0.744 0.744 0.000

Quick one: least stable of them? C

A | ## AgSnPd2 (GGA-PBE)

Data for AgSnPd2 after structural relaxation.

Properties
Its space-group type is P4/mmm (123). The value obtained for the magnetic moment is 0.000 μB per formula unit.

a b c (Å): 3.360 3.360 6.178
angles (deg): 90.00 90.00 90.00
Fractional coordinates of all 4 atoms:
Ag 0.000 0.000 0.000
Sn 0.000 0.000 0.500
Pd 0.500 0.500 0.261
Pd 0.500 0.500 0.739

B | ## AgSnPd2 (GGA-PBE)

Data for AgSnPd2 after structural relaxation.

Properties
Its space-group type is P4/mmm (123). The value obtained for the magnetic moment is 0.000 μB per formula unit.

a b c (Å): 4.422 4.422 3.542
angles (deg): 90.00 90.00 90.00
Fractional coordinates of all 4 atoms:
Ag 0.000 0.000 0.000
Sn 0.500 0.500 0.000
Pd 0.000 0.500 0.500
Pd 0.500 0.000 0.500

Quick one: least stable of them? A

A | ## Ag2Sn2Pd (GGA-PBE)

Data for Ag2Sn2Pd after structural relaxation.

Properties
Its space-group type is P4/mbm (127). The value obtained for the magnetic moment is 0.000 μB per formula unit.

a b c (Å): 7.037 7.037 4.344
angles (deg): 90.00 90.00 90.00
Fractional coordinates of all 10 atoms:
Ag 0.149 0.351 0.000
Ag 0.351 0.851 0.000
Ag 0.649 0.149 0.000
Ag 0.851 0.649 0.000
Sn 0.154 0.654 0.500
Sn 0.346 0.154 0.500
Sn 0.654 0.846 0.500
Sn 0.846 0.346 0.500
Pd 0.000 0.000 0.500
Pd 0.500 0.500 0.500

B | ## Ag2Sn2Pd (GGA-PBE)

Data for Ag2Sn2Pd after structural relaxation.

Properties
Its space-group type is P4/mbm (127). The value obtained for the magnetic moment is 0.000 μB per formula unit.

a b c (Å): 7.264 7.264 4.007
angles (deg): 90.00 90.00 90.00
Fractional coordinates of all 10 atoms:
Ag 0.135 0.365 0.000
Ag 0.365 0.865 0.000
Ag 0.635 0.135 0.000
Ag 0.865 0.635 0.000
Sn 0.173 0.673 0.500
Sn 0.327 0.173 0.500
Sn 0.673 0.827 0.500
Sn 0.827 0.327 0.500
Pd 0.000 0.000 0.000
Pd 0.500 0.500 0.000

Quick one: least stable of them? B

A | ## Ag2SnPd5 (GGA-PBE)

Data for Ag2SnPd5 after structural relaxation.

Properties
Its space-group type is I4/mcm (140). The value obtained for the magnetic moment is 0.000 μB per formula unit.

a b c (Å): 7.487 7.487 7.487
angles (deg): 124.31 124.31 82.69
Fractional coordinates of all 16 atoms:
Ag 0.144 0.644 0.787
Ag 0.356 0.144 0.500
Ag 0.644 0.856 0.500
Ag 0.856 0.356 0.213
Sn 0.250 0.250 0.000
Sn 0.750 0.750 0.000
Pd 0.000 0.000 0.000
Pd 0.017 0.816 0.500
Pd 0.184 0.684 0.201
Pd 0.316 0.517 0.500
Pd 0.483 0.983 0.799
Pd 0.500 0.500 0.000
Pd 0.517 0.017 0.201
Pd 0.684 0.483 0.500
Pd 0.816 0.316 0.799
Pd 0.983 0.184 0.500

B | ## Ag2SnPd5 (GGA-PBE)

Data for Ag2SnPd5 after structural relaxation.

Properties
Its space-group type is I4/mmm (139). The value obtained for the magnetic moment is 0.000 μB per formula unit.

a b c (Å): 8.173 8.173 8.173
angles (deg): 150.50 150.50 42.21
Fractional coordinates of all 8 atoms:
Ag 0.249 0.249 0.000
Ag 0.751 0.751 0.000
Sn 0.500 0.500 0.000
Pd 0.000 0.000 0.000
Pd 0.122 0.622 0.500
Pd 0.378 0.878 0.500
Pd 0.622 0.122 0.500
Pd 0.878 0.378 0.500

Quick one: least stable of them? A